# 1
Computed, not measured: an optimized crystal structure of Pm2PrY4Tm2 at the PBE level of DFT.

```
Pm2PrY4Tm2
1.0
9.375 -1.812 0.000
9.375 1.812 0.000
-4.163 0.000 8.667
Pm Pr Y Tm
2 1 4 2
Direct
0.148 0.148 0.168 Pm
0.852 0.852 0.832 Pm
0.000 0.000 0.500 Pr
0.186 0.186 0.833 Y
0.481 0.481 0.166 Y
0.519 0.519 0.834 Y
0.814 0.814 0.167 Y
0.332 0.332 0.498 Tm
0.668 0.668 0.502 Tm
```

# 2
Computed, not measured: an optimized crystal structure of Pm2Pr6YTm at the PBE level of DFT.

```
Pm2Pr6YTm
1.0
4.650 -7.775 0.000
4.650 7.775 0.000
-1.364 0.000 9.733
Pm Pr Y Tm
4 12 2 2
Direct
0.198 0.299 0.044 Pm
0.299 0.198 0.544 Pm
0.701 0.802 0.456 Pm
0.802 0.701 0.956 Pm
0.011 0.569 0.191 Pr
0.122 0.758 0.553 Pr
0.242 0.878 0.947 Pr
0.291 0.501 0.382 Pr
0.431 0.989 0.309 Pr
0.499 0.709 0.118 Pr
0.501 0.291 0.882 Pr
0.569 0.011 0.691 Pr
0.709 0.499 0.618 Pr
0.758 0.122 0.053 Pr
0.878 0.242 0.447 Pr
0.989 0.431 0.809 Pr
0.022 0.978 0.250 Y
0.978 0.022 0.750 Y
0.410 0.590 0.750 Tm
0.590 0.410 0.250 Tm
```

# 3
Computed, not measured: an optimized crystal structure of Pm2PrYTm2 at the PBE level of DFT.

```
Pm2PrYTm2
1.0
7.045 0.000 0.000
0.000 9.855 0.000
0.000 0.000 5.664
Pm Pr Y Tm
4 2 2 4
Direct
0.247 0.166 0.000 Pm
0.253 0.666 0.500 Pm
0.747 0.334 0.500 Pm
0.753 0.834 0.000 Pm
0.000 0.500 0.000 Pr
0.500 0.000 0.500 Pr
0.000 0.000 0.500 Y
0.500 0.500 0.000 Y
0.250 0.333 0.500 Tm
0.250 0.833 0.000 Tm
0.750 0.167 0.000 Tm
0.750 0.667 0.500 Tm
```

# 4
Computed, not measured: an optimized crystal structure of PmPrYTm2 at the PBE level of DFT.

```
PmPrYTm2
1.0
3.216 -8.341 0.000
3.216 8.341 0.000
0.000 0.000 6.415
Pm Pr Y Tm
2 2 2 4
Direct
0.156 0.844 0.750 Pm
0.844 0.156 0.250 Pm
0.226 0.774 0.250 Pr
0.774 0.226 0.750 Pr
0.346 0.654 0.750 Y
0.654 0.346 0.250 Y
0.247 0.247 0.000 Tm
0.247 0.247 0.500 Tm
0.753 0.753 0.000 Tm
0.753 0.753 0.500 Tm
```

The records above give, respectively, magnetic moment values of 0.000 0.000 0.000 0.000 μB per atom.
The records above give, respectively, formation energy from the elements values of 0.007 0.111 0.064 0.338 eV/atom.